# 1
Density functional theory data (GGA-PBE) for a relaxed structure of NaCu4Au.

For the density, the calculation gives 9.00 g cm⁻³. For the energy of formation, the calculation gives -0.02 eV per atom.

It has space group F-43m (No. 216), with a = 7.0479 Å, b = 7.0479 Å, c = 7.0479 Å, α = 90.00°, β = 90.00° and γ = 90.00°. The distinct sites, in fractional coordinates, are Na at (0.0000, 0.0000, 0.0000), Cu at (0.1248, 0.1248, 0.6248) and Au at (0.2500, 0.2500, 0.2500).

# 2
Density functional theory data (GGA-PBE) for a relaxed structure of BeNiOs2.

For the density, the calculation gives 15.15 g cm⁻³. For the energy of formation, the calculation gives 0.06 eV per atom.

It has space group I-4m2 (No. 119), with a = 3.7021 Å, b = 3.7021 Å, c = 7.1687 Å, α = 90.00°, β = 90.00° and γ = 90.00°. The distinct sites, in fractional coordinates, are Be at (0.0000, 0.0000, 0.0000), Ni at (0.0000, 0.5000, 0.7500), Os at (0.0000, 0.0000, 0.5000) and Os at (0.0000, 0.5000, 0.2500).

# 3
Density functional theory data (GGA-PBE) for a relaxed structure of TlV2HgBr8.

For the density, the calculation gives 3.85 g cm⁻³.

It has space group R-3 (No. 148, hexagonal axes), with a = 7.3164 Å, b = 7.3164 Å, c = 32.0092 Å, α = 90.00°, β = 90.00° and γ = 120.00°. The distinct sites, in fractional coordinates, are Tl at (0.0000, 0.0000, 0.0000), V at (0.0000, 0.0000, 0.2476), Hg at (0.0000, 0.0000, 0.5000), Br at (0.0000, 0.0000, 0.1756) and Br at (0.0136, 0.3853, 0.9393).

# 4
Density functional theory data (GGA-PBE) for a relaxed structure of In2Ge2O7.

For the density, the calculation gives 5.45 g cm⁻³. The relative energy among the computed polymorphs comes out at 0.0 meV per atom.

It has space group C2/m (No. 12), with a = 6.7569 Å, b = 8.9826 Å, c = 5.0048 Å, α = 90.00°, β = 102.55° and γ = 90.00°. The distinct sites, in fractional coordinates, are In at (0.0000, 0.1923, 0.0000), Ge at (0.2329, 0.5000, 0.4042), O at (0.0000, 0.5000, 0.5000), O at (0.0908, 0.0000, 0.2748) and O at (0.2395, 0.3350, 0.2103).

# 5
Density functional theory data (GGA-PBE) for a relaxed structure of ReAu3.

For the density, the calculation gives 18.83 g cm⁻³. For the energy of formation, the calculation gives 0.48 eV per atom.

It has space group Cmmm (No. 65), with a = 6.0245 Å, b = 8.3022 Å, c = 2.7406 Å, α = 90.00°, β = 90.00° and γ = 90.00°. The distinct sites, in fractional coordinates, are Re at (0.0000, 0.0000, 0.0000), Au at (0.0000, 0.5000, 0.0000) and Au at (0.2500, 0.2500, 0.5000).

# 6
Density functional theory data (GGA-PBE) for a relaxed structure of RbHf3Fe.

For the density, the calculation gives 9.02 g cm⁻³. For the energy of formation, the calculation gives 0.70 eV per atom. The relative energy among the computed polymorphs comes out at 0.0 meV per atom.

It has space group Pm-3m (No. 221), with a = 4.9938 Å, b = 4.9938 Å, c = 4.9938 Å, α = 90.00°, β = 90.00° and γ = 90.00°. The distinct sites, in fractional coordinates, are Rb at (0.0000, 0.0000, 0.0000), Hf at (0.0000, 0.5000, 0.5000) and Fe at (0.5000, 0.5000, 0.5000).

# 7
Density functional theory data (GGA-PBE) for a relaxed structure of AlOsBr.

For the density, the calculation gives 8.52 g cm⁻³. The relative energy among the computed polymorphs comes out at 220.0 meV per atom.

It has space group Fmm2 (No. 42), with a = 3.1578 Å, b = 5.1480 Å, c = 14.2525 Å, α = 90.00°, β = 90.00° and γ = 90.00°. The distinct sites, in fractional coordinates, are Al at (0.0000, 0.0000, 0.0000), Os at (0.0000, 0.0000, 0.6277) and Br at (0.0000, 0.0000, 0.3624).

# 8
Density functional theory data (GGA-PBE) for a relaxed structure of SrFe2HgBi.

For the density, the calculation gives 6.92 g cm⁻³. For the energy of formation, the calculation gives 0.78 eV per atom.

It has space group P4/mmm (No. 123), with a = 4.9907 Å, b = 4.9907 Å, c = 5.8652 Å, α = 90.00°, β = 90.00° and γ = 90.00°. The distinct sites, in fractional coordinates, are Sr at (0.0000, 0.0000, 0.0000), Fe at (0.0000, 0.5000, 0.5000), Hg at (0.0000, 0.0000, 0.5000) and Bi at (0.5000, 0.5000, 0.0000).

# 9
Density functional theory data (GGA-PBE) for a relaxed structure of Cs3ZnAg3F8.

For the density, the calculation gives 4.94 g cm⁻³.

It has space group C2/m (No. 12), with a = 12.9195 Å, b = 7.4481 Å, c = 7.8487 Å, α = 90.00°, β = 123.23° and γ = 90.00°. The distinct sites, in fractional coordinates, are Cs at (0.0000, 0.0000, 0.0000), Cs at (0.2500, 0.2500, 0.0000), Zn at (0.0000, 0.0000, 0.5000), Ag at (0.0000, 0.5000, 0.5000), Ag at (0.2500, 0.2500, 0.5000), F at (0.0109, 0.2069, 0.3266), F at (0.1956, 0.0000, 0.6729) and F at (0.2297, 0.5000, 0.6883).

# 10
Density functional theory data (GGA-PBE) for a relaxed structure of Cd8Si.

For the density, the calculation gives 7.78 g cm⁻³.

It has space group I4/mmm (No. 139), with a = 9.3456 Å, b = 9.3456 Å, c = 4.5321 Å, α = 90.00°, β = 90.00° and γ = 90.00°. The distinct sites, in fractional coordinates, are Cd at (0.0000, 0.3295, 0.0000), Cd at (0.1638, 0.1638, 0.5000) and Si at (0.0000, 0.0000, 0.0000).

# 11
Density functional theory data (GGA-PBE) for a relaxed structure of Ho3In5Se12.

For the density, the calculation gives 6.00 g cm⁻³.

It has space group Ia-3d (No. 230), with a = 16.4619 Å, b = 16.4619 Å, c = 16.4619 Å, α = 90.00°, β = 90.00° and γ = 90.00°. The distinct sites, in fractional coordinates, are Ho at (0.0000, 0.2500, 0.1250), In at (0.0000, 0.0000, 0.0000), In at (0.0000, 0.2500, 0.3750) and Se at (0.0202, 0.0662, 0.6526).

# 12
Density functional theory data (GGA-PBE) for a relaxed structure of PmEuGd2.

For the density, the calculation gives 7.38 g cm⁻³. For the energy of formation, the calculation gives 0.13 eV per atom. The relative energy among the computed polymorphs comes out at 9.1 meV per atom.

It has space group Fm-3m (No. 225), with a = 8.1931 Å, b = 8.1931 Å, c = 8.1931 Å, α = 90.00°, β = 90.00° and γ = 90.00°. The distinct sites, in fractional coordinates, are Pm at (0.0000, 0.0000, 0.0000), Eu at (0.0000, 0.0000, 0.5000) and Gd at (0.2500, 0.2500, 0.2500).

# 13
Density functional theory data (GGA-PBE) for a relaxed structure of Pm2Mg2Ge3.

For the density, the calculation gives 5.43 g cm⁻³. For the energy of formation, the calculation gives -0.58 eV per atom. The relative energy among the computed polymorphs comes out at 0.0 meV per atom.

It has space group C2/m (No. 12), with a = 15.6694 Å, b = 4.4046 Å, c = 12.2674 Å, α = 90.00°, β = 126.53° and γ = 90.00°. The distinct sites, in fractional coordinates, are Pm at (0.1060, 0.0000, 0.4477), Pm at (0.2308, 0.0000, 0.8309), Mg at (0.0494, 0.5000, 0.8248), Mg at (0.0908, 0.0000, 0.1599), Ge at (0.0809, 0.5000, 0.6211), Ge at (0.1328, 0.0000, 0.9775) and Ge at (0.1659, 0.5000, 0.3239).

# 14
Density functional theory data (GGA-PBE) for a relaxed structure of Re4B2Ru.

For the density, the calculation gives 15.77 g cm⁻³. For the energy of formation, the calculation gives 0.34 eV per atom.

It has space group Cmmm (No. 65), with a = 3.8423 Å, b = 12.3141 Å, c = 3.8613 Å, α = 90.00°, β = 90.00° and γ = 90.00°. The distinct sites, in fractional coordinates, are Re at (0.0000, 0.1690, 0.0000), Re at (0.0000, 0.3248, 0.5000), B at (0.0000, 0.4277, 0.0000) and Ru at (0.0000, 0.0000, 0.5000).

# 15
Density functional theory data (GGA-PBE) for a relaxed structure of LiAgSb2Se4.

For the density, the calculation gives 5.83 g cm⁻³.

It has space group P2/m (No. 10), with a = 7.0186 Å, b = 4.1038 Å, c = 7.0851 Å, α = 90.00°, β = 109.89° and γ = 90.00°. The distinct sites, in fractional coordinates, are Li at (0.0000, 0.0000, 0.0000), Ag at (0.0000, 0.5000, 0.5000), Sb at (0.5000, 0.0000, 0.5000), Sb at (0.5000, 0.5000, 0.0000), Se at (0.2443, 0.0000, 0.7488) and Se at (0.2442, 0.5000, 0.2461).

# 16
Density functional theory data (GGA-PBE) for a relaxed structure of Tb2PmEr4Mg.

For the density, the calculation gives 7.86 g cm⁻³. For the energy of formation, the calculation gives 0.03 eV per atom.

It has space group Pmmm (No. 47), with a = 4.9290 Å, b = 4.9400 Å, c = 10.0289 Å, α = 90.00°, β = 90.00° and γ = 90.00°. The distinct sites, in fractional coordinates, are Tb at (0.0000, 0.0000, 0.0000), Tb at (0.5000, 0.5000, 0.5000), Pm at (0.0000, 0.0000, 0.5000), Er at (0.0000, 0.5000, 0.2465), Er at (0.5000, 0.0000, 0.2462) and Mg at (0.5000, 0.5000, 0.0000).

# 17
Density functional theory data (GGA-PBE) for a relaxed structure of POsW2.

For the density, the calculation gives 16.75 g cm⁻³. For the energy of formation, the calculation gives 0.31 eV per atom.

It has space group I4/mmm (No. 139), with a = 3.7263 Å, b = 3.7263 Å, c = 8.4094 Å, α = 90.00°, β = 90.00° and γ = 90.00°. The distinct sites, in fractional coordinates, are P at (0.0000, 0.0000, 0.0000), Os at (0.0000, 0.0000, 0.5000) and W at (0.0000, 0.5000, 0.2500).

# 18
Density functional theory data (GGA-PBE) for a relaxed structure of HfBeCoMo2.

For the density, the calculation gives 7.25 g cm⁻³. For the energy of formation, the calculation gives 2.16 eV per atom.

It has space group P4/mmm (No. 123), with a = 4.7436 Å, b = 4.7436 Å, c = 4.4616 Å, α = 90.00°, β = 90.00° and γ = 90.00°. The distinct sites, in fractional coordinates, are Hf at (0.0000, 0.0000, 0.0000), Be at (0.0000, 0.0000, 0.5000), Co at (0.5000, 0.5000, 0.5000) and Mo at (0.0000, 0.5000, 0.0000).

# 19
Density functional theory data (GGA-PBE) for a relaxed structure of ErCu3S3.

For the density, the calculation gives 6.18 g cm⁻³. The relative energy among the computed polymorphs comes out at 2.0 meV per atom.

It has space group P-31m (No. 162), with a = 6.6724 Å, b = 6.6724 Å, c = 6.3244 Å, α = 90.00°, β = 90.00° and γ = 120.00°. The distinct sites, in fractional coordinates, are Er at (0.3333, 0.6667, 0.0000), Cu at (0.0000, 0.3410, 0.3676) and S at (0.0000, 0.3304, 0.7518).

# 20
Density functional theory data (GGA-PBE) for a relaxed structure of IrPbF5.

For the density, the calculation gives 6.63 g cm⁻³.

It has space group C2/c (No. 15), with a = 9.6133 Å, b = 7.1454 Å, c = 7.8973 Å, α = 90.00°, β = 114.01° and γ = 90.00°. The distinct sites, in fractional coordinates, are Ir at (0.0000, 0.0000, 0.0000), Pb at (0.0000, 0.4662, 0.2500), F at (0.0000, 0.0820, 0.2500), F at (0.0126, 0.2829, 0.9718) and F at (0.2292, 0.0223, 0.6198).

# 21
Density functional theory data (GGA-PBE) for a relaxed structure of Er4Zn2In5.

For the density, the calculation gives 8.58 g cm⁻³. For the energy of formation, the calculation gives -0.38 eV per atom.

It has space group P2/m (No. 10), with a = 7.7052 Å, b = 3.5500 Å, c = 9.7516 Å, α = 90.00°, β = 94.40° and γ = 90.00°. The distinct sites, in fractional coordinates, are Er at (0.1788, 0.0000, 0.3724), Er at (0.2511, 0.0000, 0.9378), Zn at (0.0645, 0.5000, 0.1285), In at (0.1729, 0.5000, 0.6585), In at (0.4425, 0.5000, 0.1856) and In at (0.5000, 0.5000, 0.5000).

VASP energy in eV per cell, matching the order above: -84.33 -63.46 -129.00 -134.47 -40.69 -35.81 -59.85 -18.88 -110.95 -23.38 -706.08 -170.75 -122.38 -140.04 -30.19 -33.65 -82.61 -31.66 -70.40 -136.51 -38.72